Entry 1:
Entry from Alexandria: an optimized crystal structure of LaTbSm2Dy (PBE).

Results
total magnetization	0.00	μB per atom
ΔE_f	281	meV per atom

Cell: 8.6223 6.5137 6.3061 Å, 90.00 99.19 90.00°
Space group P2/c (No. 13)
One atom of each set of equivalent atoms:
1 La 0.0000 0.0000 0.0000
2 Tb 0.0000 0.4451 0.2500
3 Sm 0.3145 0.3168 0.6983
4 Dy 0.5000 0.1649 0.2500


Entry 2:
Entry from Alexandria: an optimized crystal structure of Sc3TcCl (PBE).

Results
total magnetization	0.00	μB per atom
offset from the most stable computed form	35.0	meV/atom
formation energy from raw total energies	0.04	eV per atom

Cell: 5.0818 5.0818 5.0818 Å, 90.00 90.00 90.00°
Space group Pm-3m (No. 221)
One atom of each set of equivalent atoms:
1 Sc 0.0000 0.0000 0.5000
2 Tc 0.0000 0.0000 0.0000
3 Cl 0.5000 0.5000 0.5000


Entry 3:
Entry from Alexandria: an optimized crystal structure of PaZn2OsO8 (PBE).

Results
total magnetization	0.00	μB per atom
formation energy from raw total energies	-1.79	eV per atom

Cell: 6.6666 6.7246 6.6036 Å, 90.00 90.00 90.00°
Space group Cmmm (No. 65)
One atom of each set of equivalent atoms:
1 Pa 0.0000 0.0000 0.0000
2 Zn 0.0000 0.5000 0.2546
3 Os 0.0000 0.0000 0.5000
4 O 0.0000 0.1935 0.2800
5 O 0.1949 0.5000 0.0000
6 O 0.2238 0.5000 0.5000


Entry 4:
Entry from Alexandria: an optimized crystal structure of DyCd2Pt (PBE).

Results
total magnetization	0.00	μB per atom
ΔE_f	93	meV per atom

Cell: 3.1378 3.1378 31.9092 Å, 90.00 90.00 120.00°
Space group R-3m (No. 166, hexagonal axes)
One atom of each set of equivalent atoms:
1 Dy 0.0000 0.0000 0.0000
2 Cd 0.0000 0.0000 0.0975
3 Pt 0.0000 0.0000 0.5000